Entry 1:
The following is a PBEsol calculation of an optimized crystal structure of Ti2Co2Ag, from the Alexandria database.

The structure in POSCAR format:
```
Ti2Co2Ag
1.0
-2.787 0.185 0.529
0.606 -4.805 4.877
1.211 4.894 4.671
Ag Co Ti
2 4 4
direct
0.000 0.000 0.000
0.000 0.500 0.500
0.000 0.134 0.366
0.000 0.366 0.866
0.000 0.866 0.634
0.000 0.634 0.134
0.500 0.840 0.340
0.500 0.660 0.840
0.500 0.340 0.160
0.500 0.160 0.660
```

The space-group type is No. 127. The calculation puts the formation energy at -0.260 eV/atom. The calculation puts the calculated density at 7.95 g/cm³. For the density of states at the Fermi level, the calculation gives 0.741 states/eV per atom. For the magnetic moment, the calculation gives 0.000 μB/atom. As for the crystal system: tetragonal.

Entry 2:
The following is a PBEsol calculation of an optimized crystal structure of SiRh2Pb, from the Alexandria database.

The structure in POSCAR format:
```
SiRh2Pb
1.0
2.961 0.000 0.000
0.000 2.961 0.000
0.000 0.000 7.224
Rh Si Pb
2 1 1
direct
0.000 0.000 0.188
0.000 0.000 0.812
0.500 0.500 0.000
0.500 0.500 0.500
```

The space-group type is No. 123. The calculation puts the calculated density at 11.57 g/cm³. The polymorph energy (0 for the lowest one) is 0 meV per atom. For the density of states at the Fermi level, the calculation gives 0.610 states/eV per atom. For the magnetic moment, the calculation gives 0.000 μB/atom. As for the crystal system: tetragonal.

Entry 3:
The following is a PBEsol calculation of an optimized crystal structure of MgReBr, from the Alexandria database.

The structure in POSCAR format:
```
MgReBr
1.0
-1.507 1.188 2.184
-1.695 -4.064 1.041
3.860 1.397 1.904
Mg Re Br
1 1 1
direct
0.000 0.333 0.667
0.500 0.667 0.333
0.500 0.000 0.000
```

The space-group type is No. 187. The calculation puts the calculated density at 9.35 g/cm³. The polymorph energy (0 for the lowest one) is 196 meV per atom. For the density of states at the Fermi level, the calculation gives 0.821 states/eV per atom. For the magnetic moment, the calculation gives 0.000 μB/atom. As for the crystal system: hexagonal.

Entry 4:
The following is a PBEsol calculation of an optimized crystal structure of V4CoCuO12, from the Alexandria database.

The structure in POSCAR format:
```
V4CoCuO12
1.0
-4.225 0.181 -3.983
-5.266 -2.303 3.104
-0.089 5.928 2.741
O Co V Cu
12 1 4 1
direct
0.313 0.622 0.355
0.495 0.619 0.925
0.804 0.663 0.376
0.624 0.183 0.970
0.072 0.035 0.795
0.928 0.795 0.035
0.376 0.970 0.183
0.687 0.355 0.622
0.505 0.925 0.619
0.196 0.376 0.663
0.971 0.092 0.367
0.029 0.367 0.092
0.000 0.078 0.078
0.016 0.607 0.212
0.503 0.800 0.384
0.984 0.212 0.607
0.497 0.384 0.800
0.500 0.916 0.916
```

The space-group type is No. 5. The calculation puts the calculated density at 3.71 g/cm³. The total energy is -8.232 eV per atom. For the density of states at the Fermi level, the calculation gives 0.459 states/eV per atom. For the magnetic moment, the calculation gives 0.223 μB/atom. As for the crystal system: monoclinic.

Entry 5:
The following is a PBEsol calculation of an optimized crystal structure of BaSr2Li2, from the Alexandria database.

The structure in POSCAR format:
```
BaSr2Li2
1.0
-3.281 -2.320 -0.716
2.189 -3.347 0.815
-2.669 3.663 11.998
Li Sr Ba
2 2 1
direct
0.250 0.750 0.500
0.750 0.250 0.500
0.368 0.368 0.737
0.632 0.632 0.263
0.000 0.000 0.000
```

The space-group type is No. 139. The calculation puts the formation energy at 0.074 eV/atom. The calculation puts the calculated density at 2.60 g/cm³. The polymorph energy (0 for the lowest one) is 52 meV per atom. For the density of states at the Fermi level, the calculation gives 0.850 states/eV per atom. For the magnetic moment, the calculation gives 0.000 μB/atom. As for the crystal system: tetragonal.

Entry 6:
The following is a PBEsol calculation of an optimized crystal structure of MgSiOs, from the Alexandria database.

The structure in POSCAR format:
```
MgSiOs
1.0
3.093 0.000 0.000
0.000 3.093 0.000
-1.547 -1.547 4.555
Os Si Mg
1 1 1
direct
0.690 0.690 0.380
0.310 0.310 0.620
0.000 0.000 0.000
```

The space-group type is No. 107. The calculation puts the calculated density at 9.24 g/cm³. The total energy is -6.881 eV per atom. For the density of states at the Fermi level, the calculation gives 0.030 states/eV per atom. For the magnetic moment, the calculation gives 0.000 μB/atom. As for the crystal system: tetragonal.

Entry 7:
The following is a PBEsol calculation of an optimized crystal structure of Sb2PtRhS, from the Alexandria database.

The structure in POSCAR format:
```
Sb2PtRhS
1.0
4.308 0.000 0.000
0.000 5.063 0.000
0.000 0.000 5.063
S Sb Pt Rh
1 2 1 1
direct
0.000 0.000 0.000
0.000 0.500 0.000
0.000 0.000 0.500
0.500 0.000 0.000
0.500 0.500 0.500
```

The space-group type is No. 123. The calculation puts the calculated density at 8.63 g/cm³. The total energy is -4.907 eV per atom. For the density of states at the Fermi level, the calculation gives 0.827 states/eV per atom. For the magnetic moment, the calculation gives 0.000 μB/atom. As for the crystal system: tetragonal.

Entry 8:
The following is a PBEsol calculation of an optimized crystal structure of CdBRh3, from the Alexandria database.

The structure in POSCAR format:
```
CdBRh3
1.0
4.080 0.000 0.000
0.000 4.080 0.000
0.000 0.000 4.080
B Cd Rh
1 1 3
direct
0.000 0.000 0.000
0.500 0.500 0.500
0.000 0.500 0.000
0.500 0.000 0.000
0.000 0.000 0.500
```

The space-group type is No. 221. The calculation puts the formation energy at -0.186 eV/atom. The calculation puts the calculated density at 10.56 g/cm³. The polymorph energy (0 for the lowest one) is 31 meV per atom. For the density of states at the Fermi level, the calculation gives 0.880 states/eV per atom. For the magnetic moment, the calculation gives 0.000 μB/atom. As for the crystal system: cubic.

Entry 9:
The following is a PBEsol calculation of an optimized crystal structure of LiTa3P, from the Alexandria database.

The structure in POSCAR format:
```
LiTa3P
1.0
4.589 0.000 0.000
0.000 4.589 0.000
0.000 0.000 4.589
Li Ta P
1 3 1
direct
0.500 0.500 0.500
0.500 0.000 0.000
0.000 0.000 0.500
0.000 0.500 0.000
0.000 0.000 0.000
```

The space-group type is No. 221. The calculation puts the formation energy at 0.561 eV/atom. The calculation puts the calculated density at 9.98 g/cm³. For the density of states at the Fermi level, the calculation gives 1.053 states/eV per atom. For the magnetic moment, the calculation gives 0.000 μB/atom. As for the crystal system: cubic.

Entry 10:
The following is a PBEsol calculation of an optimized crystal structure of Tl2As2Pb, from the Alexandria database.

The structure in POSCAR format:
```
Tl2As2Pb
1.0
4.889 0.000 0.000
0.000 7.457 0.000
0.000 0.000 7.457
Tl As Pb
4 4 2
direct
0.500 0.679 0.821
0.500 0.321 0.179
0.500 0.821 0.321
0.500 0.179 0.679
0.000 0.385 0.885
0.000 0.885 0.615
0.000 0.615 0.115
0.000 0.115 0.385
0.000 0.500 0.500
0.000 0.000 0.000
```

The space-group type is No. 127. The calculation puts the formation energy at 0.053 eV/atom. The calculation puts the calculated density at 9.36 g/cm³. The polymorph energy (0 for the lowest one) is 0 meV per atom. For the density of states at the Fermi level, the calculation gives 0.263 states/eV per atom. For the magnetic moment, the calculation gives 0.000 μB/atom. As for the crystal system: tetragonal.

Entry 11:
The following is a PBEsol calculation of an optimized crystal structure of YCd2Pb, from the Alexandria database.

The structure in POSCAR format:
```
YCd2Pb
1.0
-1.640 -3.638 -1.975
1.049 -2.420 3.588
-4.298 0.919 1.876
Cd Y Pb
2 1 1
direct
0.000 0.500 0.000
0.500 0.000 0.000
0.000 0.000 0.500
0.500 0.500 0.500
```

The space-group type is No. 123. The calculation puts the formation energy at -0.383 eV/atom. The calculation puts the calculated density at 9.13 g/cm³. For the density of states at the Fermi level, the calculation gives 0.332 states/eV per atom. For the magnetic moment, the calculation gives 0.000 μB/atom. As for the crystal system: tetragonal.

Entry 12:
The following is a PBEsol calculation of an optimized crystal structure of YMg2Os, from the Alexandria database.

The structure in POSCAR format:
```
YMg2Os
1.0
3.009 0.000 0.000
0.000 5.347 -0.060
0.000 -2.327 4.814
Y Mg Os
1 2 1
direct
0.500 0.500 0.500
0.000 0.500 0.000
0.000 0.000 0.500
0.500 0.000 0.000
```

The space-group type is No. 65. The calculation puts the formation energy at 0.343 eV/atom. The calculation puts the calculated density at 7.07 g/cm³. The polymorph energy (0 for the lowest one) is 253 meV per atom. For the density of states at the Fermi level, the calculation gives 0.798 states/eV per atom. For the magnetic moment, the calculation gives 0.085 μB/atom. As for the crystal system: orthorhombic.

Please write out number 9 again, unchanged.
The following is a PBEsol calculation of an optimized crystal structure of LiTa3P, from the Alexandria database.

The structure in POSCAR format:
```
LiTa3P
1.0
4.589 0.000 0.000
0.000 4.589 0.000
0.000 0.000 4.589
Li Ta P
1 3 1
direct
0.500 0.500 0.500
0.500 0.000 0.000
0.000 0.000 0.500
0.000 0.500 0.000
0.000 0.000 0.000
```

The space-group type is No. 221. The calculation puts the formation energy at 0.561 eV/atom. The calculation puts the calculated density at 9.98 g/cm³. For the density of states at the Fermi level, the calculation gives 1.053 states/eV per atom. For the magnetic moment, the calculation gives 0.000 μB/atom. As for the crystal system: cubic.

- Look up the calculated density of the twelfth one.
  7.07 g/cm³

- Which formula does entry 4 have?
  V4CoCuO12